## MnFe2SbH (GGA-PBE)

Data for an optimized crystal structure of MnFe2SbH.

**Space group**: P4/mmm, No. 123
**Raw total energy**: -6.649 eV/atom

```
MnFe2SbH
1.0
3.910 0.000 0.000
0.000 3.910 0.000
0.000 0.000 3.661
Mn Fe Sb H
1 2 1 1
Direct
0.000 0.000 0.000
0.000 0.500 0.500
0.500 0.000 0.500
0.500 0.500 0.000
0.000 0.000 0.500
```